(1)
The following is a DFT calculation (PBE-GGA) of a relaxed Zr2InBr crystal.

Results
Calculated total energy   -5.80 eV/atom
Offset from the most stable computed form   0 meV/atom
Crystal system   trigonal
Raw formation energy   -40.4 kJ per mole of atoms
Space-group type   R3m, No. 160

a = 10.985 Å, b = 10.985 Å, c = 10.985 Å
α = 17.79°, β = 17.79°, γ = 17.79°
Positions (direct):
Zr1 0.000 0.000 0.000
Zr2 0.259 0.259 0.259
In1 0.515 0.515 0.515
Br1 0.727 0.727 0.727

(2)
The following is a DFT calculation (PBE-GGA) of a relaxed Cs6I4O crystal.

Results
Calculated total energy   -2.89 eV/atom
Crystal system   trigonal
Raw formation energy   -136.5 kJ per mole of atoms
Space-group type   R-3c, No. 167

a = 10.535 Å, b = 10.535 Å, c = 10.535 Å
α = 88.57°, β = 88.57°, γ = 88.57°
Positions (direct):
Cs1 0.058 0.933 0.734
Cs2 0.067 0.266 0.942
Cs3 0.234 0.433 0.558
Cs4 0.266 0.942 0.067
Cs5 0.433 0.558 0.234
Cs6 0.442 0.766 0.567
Cs7 0.558 0.234 0.433
Cs8 0.567 0.442 0.766
Cs9 0.734 0.058 0.933
Cs10 0.766 0.567 0.442
Cs11 0.933 0.734 0.058
Cs12 0.942 0.067 0.266
I1 0.124 0.750 0.376
I2 0.250 0.250 0.250
I3 0.250 0.624 0.876
I4 0.376 0.124 0.750
I5 0.624 0.876 0.250
I6 0.750 0.376 0.124
I7 0.750 0.750 0.750
I8 0.876 0.250 0.624
O1 0.000 0.000 0.000
O2 0.500 0.500 0.500